# LiScSnPt | OQMD | GGA-PBE | optimized geometry
data_LiScSnPt
_space_group_name_H-M_alt 'P 1'
_space_group_IT_number 1
_cell_length_a 4.602
_cell_length_b 4.602
_cell_length_c 6.510
_cell_angle_alpha 90.00
_cell_angle_beta 90.00
_cell_angle_gamma 90.00
loop_
_space_group_symop_operation_xyz
'x,y,z'
loop_
_atom_site_label
_atom_site_fract_x
_atom_site_fract_y
_atom_site_fract_z
Sn1 0.500 0.000 0.752
Pt1 0.000 0.000 0.500
Sn2 0.000 0.500 0.248
Li1 0.000 0.000 0.000
Pt2 0.500 0.500 0.000
Sc1 0.000 0.500 0.748
Li2 0.500 0.500 0.500
Sc2 0.500 0.000 0.252
# crystal system = tetragonal
# E above lowest polymorph = 0.000 eV per atom

# Li2YScSn2Pt2 | OQMD | GGA-PBE | optimized geometry
data_Li2YScSn2Pt2
_space_group_name_H-M_alt 'P 1'
_space_group_IT_number 1
_cell_length_a 4.682
_cell_length_b 4.682
_cell_length_c 6.643
_cell_angle_alpha 90.00
_cell_angle_beta 90.00
_cell_angle_gamma 90.00
loop_
_space_group_symop_operation_xyz
'x,y,z'
loop_
_atom_site_label
_atom_site_fract_x
_atom_site_fract_y
_atom_site_fract_z
Li1 0.500 0.000 0.234
Pt1 0.000 0.500 0.235
Sn1 0.500 0.500 0.000
Y1 0.500 0.500 0.500
Sc1 0.000 0.000 0.000
Li2 0.000 0.500 0.766
Sn2 0.000 0.000 0.500
Pt2 0.500 0.000 0.765
# crystal system = tetragonal
# DFT total energy = -0.2026 Ha/atom

Ordered M_tot results: 0.0 0.0; unit μB/f.u..